Record 1
Ac8Pd4Pt3: optimized geometry, PBE.

Cell: 12.4316 12.4487 8.7939 Å, 90.00 134.87 90.00°
Space group C2/m (No. 12)
One atom of each set of equivalent atoms:
Ac1 0.0000 0.2449 0.0000 (multiplicity 4)
Ac2 0.0000 0.2518 0.5000 (multiplicity 4)
Ac3 0.2462 0.0000 0.4887 (multiplicity 4)
Ac4 0.2472 0.0000 0.0036 (multiplicity 4)
Pd1 0.0000 0.0000 0.0000 (multiplicity 2)
Pd2 0.0000 0.0000 0.5000 (multiplicity 2)
Pd3 0.2500 0.2500 0.5000 (multiplicity 4)
Pt1 0.0000 0.5000 0.5000 (multiplicity 2)
Pt2 0.2500 0.2500 0.0000 (multiplicity 4)

Properties
Fermi-level density of states ... 9.6 states/eV/f.u.


Record 2
AcPd3Pt2: optimized geometry, PBE.

Cell: 9.7430 9.1971 5.3874 Å, 90.00 90.00 90.00°
Space group Cmcm (No. 63)
One atom of each set of equivalent atoms:
Ac1 0.0000 0.1929 0.2500 (multiplicity 4)
Pd1 0.0000 0.4734 0.7500 (multiplicity 4)
Pd2 0.1905 0.2449 0.7500 (multiplicity 8)
Pt1 0.2480 0.5000 0.0000 (multiplicity 8)

Properties
Fermi-level density of states ... 4.6 states/eV/f.u.
Distance to the lowest polymorph of the same formula ... 0 meV per atom


Number 1: ΔE_f -1305 kJ/mol of formula units. Number 2: ΔE_f -321 kJ/mol of formula units.